# 1
Co3NiIr after structural relaxation. Source: Alexandria, functional GGA-PBE.

```
Co3NiIr
1.0
-2.7980 2.3757 1.8408
-5.3308 -2.0323 -5.4799
-2.5505 -1.9326 3.1979
Co Ni Ir
6 2 2
direct
0.1663 0.9862 0.1674 Co
0.3438 0.7500 0.8097 Co
0.8337 0.4862 0.8326 Co
0.1663 0.5138 0.1674 Co
0.8337 0.0138 0.8326 Co
0.6562 0.2500 0.1903 Co
0.9784 0.7500 0.5405 Ni
0.0216 0.2500 0.4595 Ni
0.3440 0.2500 0.8143 Ir
0.6560 0.7500 0.1857 Ir
```

Computed properties:
- D(E_F): 1.076 states/eV per atom
- Energy above the lowest structure with this stoichiometry: 180.9 meV/atom
- ΔE_f: 0.32 eV/atom

***

# 2
VCr3Ir4 after structural relaxation. Source: Alexandria, functional GGA-PBE.

```
VCr3Ir4
1.0
3.6726 0.0019 -0.9913
-0.2609 3.6687 -0.9736
0.1584 0.1309 7.8843
Ir Cr V
4 3 1
direct
0.3719 0.3720 0.7439 Ir
0.6281 0.6280 0.2561 Ir
0.8720 0.8720 0.7439 Ir
0.1280 0.1280 0.2561 Ir
0.0000 0.5000 0.0000 Cr
0.2501 0.7501 0.5007 Cr
0.7499 0.2499 0.4993 Cr
0.5000 0.0000 0.0000 V
```

Computed properties:
- D(E_F): 0.792 states/eV per atom
- ΔE_f: -0.27 eV/atom

***

# 3
Ac2CeP3Pd12 after structural relaxation. Source: Alexandria, functional GGA-PBE.

```
Ac2CeP3Pd12
1.0
-0.8696 7.8735 -0.4275
-7.4143 2.6788 -0.8850
-3.2441 3.5306 6.3200
Pd P Ac Ce
12 3 2 1
direct
0.8666 0.3961 0.8666 Pd
0.8666 0.8666 0.3961 Pd
0.8988 0.3256 0.3256 Pd
0.6039 0.1334 0.1334 Pd
0.3256 0.8988 0.3256 Pd
0.6744 0.1012 0.6744 Pd
0.3961 0.8666 0.8666 Pd
0.1334 0.1334 0.6039 Pd
0.1012 0.6744 0.6744 Pd
0.1334 0.6039 0.1334 Pd
0.3256 0.3256 0.8988 Pd
0.6744 0.6744 0.1012 Pd
0.5000 0.0000 0.0000 P
0.0000 0.5000 0.0000 P
0.0000 0.0000 0.5000 P
0.6022 0.6022 0.6022 Ac
0.3978 0.3978 0.3978 Ac
0.0000 0.0000 0.0000 Ce
```

Computed properties:
- D(E_F): 0.533 states/eV per atom
- ΔE_f: -0.46 eV/atom

***

ΔE_f of number 3 (Ac2CeP3Pd12)?
-0.46 eV/atom